## 1
An optimized crystal structure of BaHIr, computed with PBE.

a b c (Å): 5.288 5.419 5.419
angles (deg): 58.78 90.00 90.00
Fractional coordinates of all 6 atoms:
Ba 0.000 0.000 0.000
Ba 0.500 0.337 0.337
H 0.500 0.420 0.814
H 0.500 0.814 0.420
Ir 0.233 0.665 0.665
Ir 0.767 0.665 0.665

Computed properties:
ρ (g/cm3): 8.27
Total moment (μB/atom): 0.00
Space-group type: Amm2, No. 38



## 2
An optimized crystal structure of BaHIr, computed with PBE.

a b c (Å): 4.983 5.507 5.531
angles (deg): 62.20 89.90 86.03
Fractional coordinates of all 6 atoms:
Ba 0.000 0.000 0.000
Ba 0.460 0.654 0.664
H 0.570 0.714 0.128
H 0.983 0.453 0.473
Ir 0.232 0.292 0.344
Ir 0.711 0.393 0.299

Computed properties:
ρ (g/cm3): 8.20
Total moment (μB/atom): 0.00
Space-group type: P1, No. 1



## 3
An optimized crystal structure of BaHIr, computed with PBE.

a b c (Å): 5.490 5.490 5.294
angles (deg): 94.58 94.58 58.03
Fractional coordinates of all 6 atoms:
Ba 0.159 0.159 0.274
Ba 0.841 0.841 0.726
H 0.385 0.385 0.971
H 0.615 0.615 0.029
Ir 0.493 0.493 0.266
Ir 0.507 0.507 0.734

Computed properties:
ρ (g/cm3): 8.14
Total moment (μB/atom): 0.00
Space-group type: C2/m, No. 12



## 4
An optimized crystal structure of BaHIr, computed with PBE.

a b c (Å): 4.699 4.325 7.277
angles (deg): 90.00 108.80 90.00
Fractional coordinates of all 6 atoms:
Ba 0.130 0.000 0.259
Ba 0.870 0.500 0.741
H 0.322 0.004 0.668
H 0.678 0.504 0.332
Ir 0.455 0.000 0.914
Ir 0.545 0.500 0.086

Computed properties:
ρ (g/cm3): 7.84
Total moment (μB/atom): 0.00
Space-group type: P2_1, No. 4



What should be chosen as the least stable of them? Choose 2.



## 1
An optimized crystal structure of BaHIr, computed with PBE.

a b c (Å): 5.724 5.724 3.636
angles (deg): 90.00 90.00 102.87
Fractional coordinates of all 6 atoms:
Ba 0.216 0.784 0.000
Ba 0.784 0.216 0.000
H 0.279 0.279 0.000
H 0.721 0.721 0.000
Ir 0.316 0.316 0.500
Ir 0.684 0.684 0.500

Computed properties:
ρ (g/cm3): 9.45
Total moment (μB/atom): 0.00
Space-group type: Cmmm, No. 65



## 2
An optimized crystal structure of BaHIr, computed with PBE.

a b c (Å): 5.878 5.878 6.325
angles (deg): 111.99 111.99 44.92
Fractional coordinates of all 6 atoms:
Ba 0.092 0.092 0.306
Ba 0.908 0.908 0.694
H 0.331 0.331 0.218
H 0.669 0.669 0.782
Ir 0.237 0.237 0.923
Ir 0.763 0.763 0.077

Computed properties:
ρ (g/cm3): 7.78
Total moment (μB/atom): 0.00
Space-group type: C2/m, No. 12



What should be chosen as the least stable of them? Choose 2.



## 1
An optimized crystal structure of BaH2Ir, computed with PBE.

a b c (Å): 6.509 6.509 6.509
angles (deg): 137.65 137.65 61.43
Fractional coordinates of all 8 atoms:
Ba 0.000 0.000 0.000
Ba 0.750 0.250 0.500
H 0.373 0.625 0.248
H 0.375 0.623 0.748
H 0.377 0.125 0.752
H 0.875 0.627 0.252
Ir 0.250 0.750 0.500
Ir 0.500 0.500 0.000

Computed properties:
ρ (g/cm3): 8.90
Total moment (μB/atom): 0.00
Space-group type: I-42d, No. 122



## 2
An optimized crystal structure of BaH2Ir, computed with PBE.

a b c (Å): 4.464 4.464 4.464
angles (deg): 60.00 60.00 60.00
Fractional coordinates of all 4 atoms:
Ba 0.000 0.000 0.000
H 0.250 0.250 0.250
H 0.750 0.750 0.750
Ir 0.500 0.500 0.500

Computed properties:
ρ (g/cm3): 8.75
Total moment (μB/atom): 0.00
Space-group type: Fm-3m, No. 225



What should be chosen as the least stable of them? Choose 2.